(1)
The following is a DFT calculation (PBE) of crystalline PmErSnBi at its relaxed geometry.

Cell lengths 7.755, 7.755, 7.755 Å; angles 90.00, 90.00, 90.00 degrees
Space group F-43m (No. 216)
Inequivalent atoms, fractional coordinates:
Pm 0.000 0.000 0.000 [4 per cell]
Er 0.000 0.000 0.500 [4 per cell]
Sn 0.250 0.250 0.750 [4 per cell]
Bi 0.250 0.250 0.250 [4 per cell]


(2)
The following is a DFT calculation (PBE) of crystalline Tb3PmEr2Bi6 at its relaxed geometry.

Cell lengths 19.576, 4.493, 8.984 Å; angles 90.00, 103.22, 90.00 degrees
Space group C2/m (No. 12)
Inequivalent atoms, fractional coordinates:
Tb 0.000 0.000 0.000 [2 per cell]
Tb 0.165 0.500 0.332 [4 per cell]
Pm 0.000 0.000 0.500 [2 per cell]
Er 0.167 0.500 0.833 [4 per cell]
Bi 0.001 0.500 0.755 [4 per cell]
Bi 0.167 0.000 0.081 [4 per cell]
Bi 0.169 0.000 0.586 [4 per cell]


(3)
The following is a DFT calculation (PBE) of crystalline Tb2PmErBi4 at its relaxed geometry.

Cell lengths 7.800, 4.505, 7.803 Å; angles 90.00, 109.48, 90.00 degrees
Space group P2/m (No. 10)
Inequivalent atoms, fractional coordinates:
Tb 0.000 0.000 0.000 [1 per cell]
Tb 0.500 0.500 0.000 [1 per cell]
Pm 0.000 0.500 0.500 [1 per cell]
Er 0.500 0.000 0.500 [1 per cell]
Bi 0.254 0.500 0.250 [2 per cell]
Bi 0.255 0.000 0.753 [2 per cell]


(4)
The following is a DFT calculation (PBE) of crystalline Tb2PmEr3Bi6 at its relaxed geometry.

Cell lengths 19.538, 4.485, 8.967 Å; angles 90.00, 103.18, 90.00 degrees
Space group C2/m (No. 12)
Inequivalent atoms, fractional coordinates:
Tb 0.167 0.000 0.333 [4 per cell]
Pm 0.000 0.500 0.000 [2 per cell]
Er 0.000 0.500 0.500 [2 per cell]
Er 0.166 0.000 0.833 [4 per cell]
Bi 0.000 0.000 0.256 [4 per cell]
Bi 0.166 0.500 0.585 [4 per cell]
Bi 0.169 0.500 0.082 [4 per cell]


(5)
The following is a DFT calculation (PBE) of crystalline Tb3Pm2ErBi6 at its relaxed geometry.

Cell lengths 19.671, 4.515, 9.028 Å; angles 90.00, 103.23, 90.00 degrees
Space group C2/m (No. 12)
Inequivalent atoms, fractional coordinates:
Tb 0.000 0.000 0.000 [2 per cell]
Tb 0.168 0.500 0.334 [4 per cell]
Pm 0.166 0.500 0.832 [4 per cell]
Er 0.000 0.000 0.500 [2 per cell]
Bi 0.002 0.500 0.253 [4 per cell]
Bi 0.165 0.000 0.578 [4 per cell]
Bi 0.166 0.000 0.086 [4 per cell]


(6)
The following is a DFT calculation (PBE) of crystalline TbPm2Er3Bi6 at its relaxed geometry.

Cell lengths 19.599, 4.500, 8.995 Å; angles 90.00, 103.16, 90.00 degrees
Space group C2/m (No. 12)
Inequivalent atoms, fractional coordinates:
Tb 0.000 0.000 0.000 [2 per cell]
Pm 0.166 0.500 0.333 [4 per cell]
Er 0.000 0.000 0.500 [2 per cell]
Er 0.167 0.500 0.834 [4 per cell]
Bi 0.002 0.500 0.749 [4 per cell]
Bi 0.165 0.000 0.588 [4 per cell]
Bi 0.167 0.000 0.077 [4 per cell]


(7)
The following is a DFT calculation (PBE) of crystalline Pm2ErThBi5 at its relaxed geometry.

Cell lengths 5.749, 5.749, 11.857 Å; angles 90.00, 90.00, 90.00 degrees
Space group P4/mmm (No. 123)
Inequivalent atoms, fractional coordinates:
Pm 0.000 0.000 0.221 [2 per cell]
Er 0.500 0.500 0.500 [1 per cell]
Th 0.500 0.500 0.000 [1 per cell]
Bi 0.000 0.000 0.500 [1 per cell]
Bi 0.000 0.500 0.000 [2 per cell]
Bi 0.500 0.500 0.258 [2 per cell]


(8)
The following is a DFT calculation (PBE) of crystalline Pm2ErThBi4 at its relaxed geometry.

Cell lengths 7.869, 4.561, 7.896 Å; angles 90.00, 109.48, 90.00 degrees
Space group P2/m (No. 10)
Inequivalent atoms, fractional coordinates:
Pm 0.000 0.000 0.000 [1 per cell]
Pm 0.500 0.500 0.000 [1 per cell]
Er 0.000 0.500 0.500 [1 per cell]
Th 0.500 0.000 0.500 [1 per cell]
Bi 0.244 0.000 0.744 [2 per cell]
Bi 0.246 0.500 0.252 [2 per cell]


(9)
The following is a DFT calculation (PBE) of crystalline PmEr3Th2Bi6 at its relaxed geometry.

Cell lengths 19.675, 4.529, 9.022 Å; angles 90.00, 103.00, 90.00 degrees
Space group C2/m (No. 12)
Inequivalent atoms, fractional coordinates:
Pm 0.000 0.000 0.000 [2 per cell]
Er 0.000 0.000 0.500 [2 per cell]
Er 0.166 0.500 0.834 [4 per cell]
Th 0.165 0.500 0.331 [4 per cell]
Bi 0.003 0.500 0.745 [4 per cell]
Bi 0.165 0.000 0.590 [4 per cell]
Bi 0.169 0.000 0.077 [4 per cell]


(10)
The following is a DFT calculation (PBE) of crystalline PmEr2ThBi5 at its relaxed geometry.

Cell lengths 5.715, 5.715, 12.065 Å; angles 90.00, 90.00, 90.00 degrees
Space group P4/mmm (No. 123)
Inequivalent atoms, fractional coordinates:
Pm 0.000 0.000 0.000 [1 per cell]
Er 0.500 0.500 0.263 [2 per cell]
Th 0.000 0.000 0.500 [1 per cell]
Bi 0.000 0.000 0.244 [2 per cell]
Bi 0.000 0.500 0.500 [2 per cell]
Bi 0.500 0.500 0.000 [1 per cell]


(11)
The following is a DFT calculation (PBE) of crystalline PmErTlBi at its relaxed geometry.

Cell lengths 7.753, 7.753, 7.753 Å; angles 90.00, 90.00, 90.00 degrees
Space group F-43m (No. 216)
Inequivalent atoms, fractional coordinates:
Pm 0.000 0.000 0.000 [4 per cell]
Er 0.000 0.000 0.500 [4 per cell]
Tl 0.250 0.250 0.250 [4 per cell]
Bi 0.250 0.250 0.750 [4 per cell]


(12)
The following is a DFT calculation (PBE) of crystalline PmEr3Tm2Bi6 at its relaxed geometry.

Cell lengths 19.457, 4.465, 8.930 Å; angles 90.00, 103.22, 90.00 degrees
Space group C2/m (No. 12)
Inequivalent atoms, fractional coordinates:
Pm 0.000 0.000 0.000 [2 per cell]
Er 0.000 0.000 0.500 [2 per cell]
Er 0.165 0.500 0.832 [4 per cell]
Tm 0.167 0.500 0.333 [4 per cell]
Bi 0.001 0.500 0.257 [4 per cell]
Bi 0.167 0.000 0.582 [4 per cell]
Bi 0.169 0.000 0.085 [4 per cell]


(13)
The following is a DFT calculation (PBE) of crystalline Pm2ErTm3Bi6 at its relaxed geometry.

Cell lengths 19.538, 4.486, 8.967 Å; angles 90.00, 103.17, 90.00 degrees
Space group C2/m (No. 12)
Inequivalent atoms, fractional coordinates:
Pm 0.166 0.000 0.333 [4 per cell]
Er 0.000 0.500 0.000 [2 per cell]
Tm 0.000 0.500 0.500 [2 per cell]
Tm 0.168 0.000 0.834 [4 per cell]
Bi 0.003 0.000 0.751 [4 per cell]
Bi 0.165 0.500 0.589 [4 per cell]
Bi 0.166 0.500 0.076 [4 per cell]


(14)
The following is a DFT calculation (PBE) of crystalline Pm2ErTmBi4 at its relaxed geometry.

Cell lengths 7.804, 4.515, 7.815 Å; angles 90.00, 109.50, 90.00 degrees
Space group P2/m (No. 10)
Inequivalent atoms, fractional coordinates:
Pm 0.000 0.000 0.000 [1 per cell]
Pm 0.000 0.500 0.500 [1 per cell]
Er 0.500 0.000 0.500 [1 per cell]
Tm 0.500 0.500 0.000 [1 per cell]
Bi 0.259 0.500 0.253 [2 per cell]
Bi 0.260 0.000 0.754 [2 per cell]


(15)
The following is a DFT calculation (PBE) of crystalline Pm3Er2TmBi6 at its relaxed geometry.

Cell lengths 19.649, 4.513, 9.017 Å; angles 90.00, 103.12, 90.00 degrees
Space group C2/m (No. 12)
Inequivalent atoms, fractional coordinates:
Pm 0.000 0.000 0.000 [2 per cell]
Pm 0.167 0.500 0.333 [4 per cell]
Er 0.167 0.500 0.833 [4 per cell]
Tm 0.000 0.000 0.500 [2 per cell]
Bi 0.002 0.500 0.744 [4 per cell]
Bi 0.164 0.000 0.588 [4 per cell]
Bi 0.169 0.000 0.078 [4 per cell]


(16)
The following is a DFT calculation (PBE) of crystalline Pm3ErTm2Bi6 at its relaxed geometry.

Cell lengths 19.639, 4.511, 9.012 Å; angles 90.00, 103.10, 90.00 degrees
Space group C2/m (No. 12)
Inequivalent atoms, fractional coordinates:
Pm 0.000 0.000 0.000 [2 per cell]
Pm 0.166 0.500 0.333 [4 per cell]
Er 0.000 0.000 0.500 [2 per cell]
Tm 0.167 0.500 0.833 [4 per cell]
Bi 0.002 0.500 0.745 [4 per cell]
Bi 0.165 0.000 0.589 [4 per cell]
Bi 0.169 0.000 0.077 [4 per cell]


(17)
The following is a DFT calculation (PBE) of crystalline PmErTm2Bi4 at its relaxed geometry.

Cell lengths 6.327, 6.327, 12.660 Å; angles 90.00, 90.00, 90.00 degrees
Space group I4/mmm (No. 139)
Inequivalent atoms, fractional coordinates:
Pm 0.000 0.000 0.000 [2 per cell]
Er 0.000 0.000 0.500 [2 per cell]
Tm 0.000 0.500 0.250 [4 per cell]
Bi 0.000 0.000 0.253 [4 per cell]
Bi 0.000 0.500 0.000 [4 per cell]


(18)
The following is a DFT calculation (PBE) of crystalline PmEr2TmBi4 at its relaxed geometry.

Cell lengths 7.753, 4.482, 7.755 Å; angles 90.00, 109.49, 90.00 degrees
Space group P2/m (No. 10)
Inequivalent atoms, fractional coordinates:
Pm 0.000 0.000 0.000 [1 per cell]
Er 0.000 0.500 0.500 [1 per cell]
Er 0.500 0.000 0.500 [1 per cell]
Tm 0.500 0.500 0.000 [1 per cell]
Bi 0.254 0.000 0.748 [2 per cell]
Bi 0.256 0.500 0.256 [2 per cell]


(19)
The following is a DFT calculation (PBE) of crystalline Pm2YErBi5 at its relaxed geometry.

Cell lengths 5.398, 5.398, 11.905 Å; angles 90.00, 90.00, 90.00 degrees
Space group P4/mmm (No. 123)
Inequivalent atoms, fractional coordinates:
Pm 0.000 0.000 0.227 [2 per cell]
Y 0.500 0.500 0.500 [1 per cell]
Er 0.500 0.500 0.000 [1 per cell]
Bi 0.000 0.000 0.500 [1 per cell]
Bi 0.000 0.500 0.000 [2 per cell]
Bi 0.500 0.500 0.253 [2 per cell]


(20)
The following is a DFT calculation (PBE) of crystalline PmErZnBi at its relaxed geometry.

Cell lengths 7.538, 7.538, 7.538 Å; angles 90.00, 90.00, 90.00 degrees
Space group F-43m (No. 216)
Inequivalent atoms, fractional coordinates:
Pm 0.000 0.000 0.000 [4 per cell]
Er 0.000 0.000 0.500 [4 per cell]
Zn 0.250 0.250 0.750 [4 per cell]
Bi 0.250 0.250 0.250 [4 per cell]


Let's list formation energy from the elements in order: -0.538; -0.865; -0.874; -0.855; -0.886; -0.864; 0.098; -0.825; -0.754; 0.246; -0.416; -0.821; -0.836; -0.866; -0.869; -0.864; -0.823; -0.832; -0.119; -0.401 eV/atom.
Let's list final energy in order: -77.396; -122.868; -41.093; -122.486; -123.753; -122.956; -40.011; -43.609; -131.219; -38.487; -68.901; -121.029; -121.600; -40.989; -123.135; -122.826; -80.727; -40.526; -41.004; -64.288 eV/cell.